Here is a geometry-optimized ThMgFe structure from the Alexandria database. Energies are from PBE.

The value obtained for the formation energy is -0.060 eV per atom. The value obtained for the total magnetization is 0.00 μB/cell. As for the electronic total energy: -70.6 eV/cell.

The space group is Cmcm (No. 63) and the conventional cell measures 3.704, 18.273 and 3.827 Å, with angles of 90.00, 90.00 and 90.00 degrees. The inequivalent atoms are Th at (0.000, 0.083, 0.250), Mg at (0.000, 0.294, 0.250) and Fe at (0.000, 0.446, 0.250).